1.
Material: AgAsS2
Method: DFT, GGA-PBE
State: relaxed Values from VASP.

The structure in Quantum ESPRESSO input format:
```
&SYSTEM
  ibrav = 0, nat = 16, ntyp = 3
/
ATOMIC_SPECIES
As 74.92 As.upf
S 32.06 S.upf
Ag 107.87 Ag.upf
CELL_PARAMETERS angstrom
-6.417 -1.684 1.292
-3.651 -3.743 4.283
-0.214 10.472 7.409
ATOMIC_POSITIONS crystal
As 0.787 0.683 0.362
As 0.317 0.213 0.138
As 0.213 0.317 0.638
As 0.683 0.787 0.862
S 0.258 0.435 0.302
S 0.953 0.257 0.412
S 0.435 0.258 0.802
S 0.257 0.953 0.912
S 0.047 0.743 0.588
S 0.742 0.565 0.698
S 0.743 0.047 0.088
S 0.565 0.742 0.198
Ag 0.066 0.934 0.250
Ag 0.500 0.500 0.500
Ag 0.500 0.500 0.000
Ag 0.934 0.066 0.750
```

2.
Material: AgAsS2
Method: DFT, GGA-PBE
State: relaxed Values from VASP.

The structure in Quantum ESPRESSO input format:
```
&SYSTEM
  ibrav = 0, nat = 24, ntyp = 3
/
ATOMIC_SPECIES
S 32.06 S.upf
Ag 107.87 Ag.upf
As 74.92 As.upf
CELL_PARAMETERS angstrom
-6.042 3.580 -5.145
4.864 6.441 3.261
5.143 -4.945 -4.988
ATOMIC_POSITIONS crystal
S 0.613 0.755 0.145
S 0.245 0.855 0.387
S 0.148 0.351 0.073
S 0.351 0.073 0.148
S 0.649 0.927 0.852
S 0.387 0.245 0.855
S 0.073 0.148 0.351
S 0.855 0.387 0.245
S 0.852 0.649 0.927
S 0.927 0.852 0.649
S 0.145 0.613 0.755
S 0.755 0.145 0.613
Ag 0.263 0.680 0.094
Ag 0.094 0.263 0.680
Ag 0.680 0.094 0.263
Ag 0.906 0.737 0.320
Ag 0.320 0.906 0.737
Ag 0.737 0.320 0.906
As 0.646 0.858 0.572
As 0.354 0.142 0.428
As 0.428 0.354 0.142
As 0.572 0.646 0.858
As 0.142 0.428 0.354
As 0.858 0.572 0.646
```

| no. | uncorrected energy (eV for the cell shown) |
| --- | --- |
| 1 | -64.90 |
| 2 | -97.13 |